Record 1
Here is crystalline VFe3W at its relaxed geometry from Alexandria via LeMat-Bulk. Energies are from PBE-GGA.

```
VFe3W
1.0
4.141 0.000 0.000
0.000 4.141 0.000
0.000 0.000 4.141
Fe V W
3 1 1
direct
0.500 0.000 0.000
0.000 0.000 0.500
0.000 0.500 0.000
0.000 0.000 0.000
0.500 0.500 0.500
```

Calculated values
Its size of the total moment is 4.0 Bohr magnetons per cell. The calculation puts the energy above the most stable polymorph in this dataset at 0 meV per atom. The calculation puts the formation energy at 1.256 eV per atom.

=====

Record 2
Here is crystalline V8FeW2 at its relaxed geometry from Alexandria via LeMat-Bulk. Energies are from PBE-GGA.

```
V8FeW2
1.0
-0.223 2.817 3.642
-4.641 -2.156 3.890
3.441 -2.629 4.750
W V Fe
2 8 1
direct
0.449 0.140 0.140
0.551 0.860 0.860
0.716 0.569 0.569
0.860 0.660 0.156
0.126 0.723 0.723
0.860 0.156 0.660
0.284 0.431 0.431
0.874 0.277 0.277
0.140 0.844 0.340
0.140 0.340 0.844
0.000 0.000 0.000
```

Calculated values
Its size of the total moment is 0.0 Bohr magnetons per cell. The calculation puts the energy above the most stable polymorph in this dataset at 406 meV per atom. The calculation puts the formation energy at 0.618 eV per atom.

=====

Record 3
Here is crystalline V8Fe2W at its relaxed geometry from Alexandria via LeMat-Bulk. Energies are from PBE-GGA.

```
V8Fe2W
1.0
4.579 -0.215 -0.322
-1.027 6.248 -0.363
-1.027 -2.742 5.626
V Fe W
8 2 1
direct
0.086 0.084 0.323
0.500 0.766 0.234
0.330 0.606 0.606
0.500 0.234 0.766
0.914 0.677 0.916
0.670 0.394 0.394
0.914 0.916 0.677
0.086 0.323 0.084
0.000 0.308 0.692
0.000 0.692 0.308
0.500 0.000 0.000
```

Calculated values
Its size of the total moment is 0.0 Bohr magnetons per cell. The calculation puts the formation energy at 0.235 eV per atom.

=====

Record 4
Here is crystalline V3Fe2W at its relaxed geometry from Alexandria via LeMat-Bulk. Energies are from PBE-GGA.

```
V3Fe2W
1.0
2.984 0.000 0.000
0.000 2.984 0.000
0.000 0.000 8.747
V W Fe
3 1 2
direct
0.000 0.000 0.677
0.000 0.000 0.000
0.000 0.000 0.323
0.500 0.500 0.500
0.500 0.500 0.158
0.500 0.500 0.842
```

Calculated values
Its size of the total moment is 1.4 Bohr magnetons per cell. The calculation puts the formation energy at -0.075 eV per atom.

=====

Record 5
Here is crystalline VFe2W at its relaxed geometry from Alexandria via LeMat-Bulk. Energies are from PBE-GGA.

```
VFe2W
1.0
3.318 0.000 0.000
0.000 3.895 0.000
0.000 0.000 3.895
Fe W V
2 1 1
direct
0.000 0.500 0.000
0.000 0.000 0.500
0.500 0.000 0.000
0.500 0.500 0.500
```

Calculated values
Its size of the total moment is 0.0 Bohr magnetons per cell. The calculation puts the formation energy at 0.080 eV per atom.

=====

Record 6
Here is crystalline V5FeW2 at its relaxed geometry from Alexandria via LeMat-Bulk. Energies are from PBE-GGA.

```
V5FeW2
1.0
-1.396 3.904 1.009
-2.802 -0.172 -3.213
-1.974 -4.273 4.782
V Fe W
5 1 2
direct
0.120 0.620 0.241
0.380 0.880 0.759
0.500 0.500 0.000
0.880 0.380 0.759
0.620 0.120 0.241
0.000 0.000 0.000
0.748 0.748 0.496
0.252 0.252 0.504
```

Calculated values
Its size of the total moment is 0.0 Bohr magnetons per cell. The calculation puts the formation energy at -0.084 eV per atom.

=====

Record 7
Here is crystalline V8FeW2 at its relaxed geometry from Alexandria via LeMat-Bulk. Energies are from PBE-GGA.

```
V8FeW2
1.0
-2.762 1.966 -2.671
4.838 -0.020 -5.017
-3.067 -5.561 2.565
V W Fe
8 2 1
direct
0.435 0.258 0.870
0.045 0.226 0.090
0.199 0.097 0.398
0.955 0.774 0.910
0.318 0.568 0.636
0.801 0.903 0.602
0.682 0.432 0.364
0.565 0.742 0.130
0.145 0.673 0.289
0.855 0.327 0.711
0.500 0.000 0.000
```

Calculated values
Its size of the total moment is 0.0 Bohr magnetons per cell. The calculation puts the energy above the most stable polymorph in this dataset at 0 meV per atom. The calculation puts the formation energy at 0.212 eV per atom.

=====

Record 8
Here is crystalline V8FeW6 at its relaxed geometry from Alexandria via LeMat-Bulk. Energies are from PBE-GGA.

```
V8FeW6
1.0
5.979 0.138 2.959
1.895 5.673 2.959
0.188 0.138 6.668
W V Fe
6 8 1
direct
0.941 0.460 0.727
0.059 0.540 0.273
0.273 0.059 0.540
0.540 0.273 0.059
0.727 0.941 0.460
0.460 0.727 0.941
0.178 0.867 0.342
0.822 0.133 0.658
0.573 0.573 0.573
0.867 0.342 0.178
0.427 0.427 0.427
0.658 0.822 0.133
0.133 0.658 0.822
0.342 0.178 0.867
0.000 0.000 0.000
```

Calculated values
Its size of the total moment is 0.0 Bohr magnetons per cell. The calculation puts the formation energy at 0.120 eV per atom.

=====

Record 9
Here is crystalline V5FeW4 at its relaxed geometry from Alexandria via LeMat-Bulk. Energies are from PBE-GGA.

```
V5FeW4
1.0
3.055 0.000 0.000
0.000 3.055 0.000
0.000 0.000 15.194
V W Fe
5 4 1
direct
0.500 0.500 0.500
0.500 0.500 0.907
0.500 0.500 0.705
0.500 0.500 0.093
0.500 0.500 0.295
0.000 0.000 0.807
0.000 0.000 0.193
0.000 0.000 0.602
0.000 0.000 0.398
0.000 0.000 0.000
```

Calculated values
Its size of the total moment is 0.4 Bohr magnetons per cell. The calculation puts the formation energy at -0.080 eV per atom.

=====

Record 10
Here is crystalline VFeW3 at its relaxed geometry from Alexandria via LeMat-Bulk. Energies are from PBE-GGA.

```
VFeW3
1.0
4.444 0.000 0.000
0.000 4.444 0.000
0.000 0.000 4.444
W Fe V
3 1 1
direct
0.000 0.000 0.500
0.000 0.500 0.000
0.500 0.000 0.000
0.000 0.000 0.000
0.500 0.500 0.500
```

Calculated values
Its size of the total moment is 1.4 Bohr magnetons per cell. The calculation puts the energy above the most stable polymorph in this dataset at 0 meV per atom. The calculation puts the formation energy at 1.378 eV per atom.

=====

Record 11
Here is crystalline V2Fe4W at its relaxed geometry from Alexandria via LeMat-Bulk. Energies are from PBE-GGA.

```
V2Fe4W
1.0
4.366 0.000 0.000
0.000 4.366 0.000
2.183 2.183 5.978
Fe W V
4 1 2
direct
0.794 0.794 0.412
0.206 0.206 0.588
0.500 0.000 0.000
0.000 0.500 0.000
0.000 0.000 0.000
0.387 0.387 0.227
0.613 0.613 0.773
```

Calculated values
Its size of the total moment is 1.1 Bohr magnetons per cell. The calculation puts the formation energy at 1.237 eV per atom.

=====

Record 12
Here is crystalline YV2Fe2 at its relaxed geometry from Alexandria via LeMat-Bulk. Energies are from PBE-GGA.

```
YV2Fe2
1.0
7.292 0.000 0.000
0.000 7.292 0.000
0.000 0.000 2.735
Fe V Y
4 4 2
direct
0.360 0.140 0.500
0.640 0.860 0.500
0.140 0.640 0.500
0.860 0.360 0.500
0.141 0.359 0.000
0.359 0.859 0.000
0.859 0.641 0.000
0.641 0.141 0.000
0.000 0.000 0.000
0.500 0.500 0.000
```

Calculated values
Its size of the total moment is 0.0 Bohr magnetons per cell. The calculation puts the energy above the most stable polymorph in this dataset at 287 meV per atom. The calculation puts the formation energy at 0.194 eV per atom.